A) Entry from Alexandria: an optimized crystal structure of BeTeRh2 (PBE). Values from VASP.

Computed properties:
Crystal system ... monoclinic

```
&SYSTEM
  ibrav = 0, nat = 4, ntyp = 3
/
ATOMIC_SPECIES
Be 9.01 Be.upf
Te 127.60 Te.upf
Rh 102.91 Rh.upf
ATOMIC_POSITIONS crystal
Be 0.3276 0.3276 0.0181
Te 0.5023 0.5023 0.4919
Rh 0.9392 0.9392 0.1818
Rh 0.7308 0.7308 0.8082
CELL_PARAMETERS angstrom
3.8058 -0.0193 0.0088
1.9147 3.2891 0.0088
1.8997 1.0859 4.9212
```


B) Entry from Alexandria: an optimized crystal structure of BeTeRh2 (PBE). Values from VASP.

Computed properties:
Crystal system ... cubic

```
&SYSTEM
  ibrav = 0, nat = 4, ntyp = 3
/
ATOMIC_SPECIES
Be 9.01 Be.upf
Te 127.60 Te.upf
Rh 102.91 Rh.upf
ATOMIC_POSITIONS crystal
Be 0.5000 0.5000 0.5000
Te 0.7500 0.7500 0.7500
Rh 0.0000 0.0000 0.0000
Rh 0.2500 0.2500 0.2500
CELL_PARAMETERS angstrom
-0.7040 -2.2275 -3.7567
2.2556 -3.7152 -0.8245
-2.0659 -3.9105 0.1012
```


Quick one: least stable of them? B)


A) Entry from Alexandria: an optimized crystal structure of BeTeRh2 (PBE). Values from VASP.

Computed properties:
Crystal system ... tetragonal

```
&SYSTEM
  ibrav = 0, nat = 4, ntyp = 3
/
ATOMIC_SPECIES
Be 9.01 Be.upf
Te 127.60 Te.upf
Rh 102.91 Rh.upf
ATOMIC_POSITIONS crystal
Be 0.5000 0.5000 0.8557
Te 0.0000 0.0000 0.4708
Rh 0.0000 0.0000 0.9207
Rh 0.5000 0.5000 0.2529
CELL_PARAMETERS angstrom
3.2835 0.0066 0.0000
-0.0079 3.2835 0.0000
0.0000 0.0000 5.8053
```


B) Entry from Alexandria: an optimized crystal structure of BeTeRh2 (PBE). Values from VASP.

Computed properties:
Crystal system ... tetragonal

```
&SYSTEM
  ibrav = 0, nat = 4, ntyp = 3
/
ATOMIC_SPECIES
Be 9.01 Be.upf
Te 127.60 Te.upf
Rh 102.91 Rh.upf
ATOMIC_POSITIONS crystal
Be 0.5000 0.0000 0.5000
Te 0.5000 0.5000 0.0000
Rh 0.0000 0.0000 0.0000
Rh 0.0000 0.5000 0.5000
CELL_PARAMETERS angstrom
-2.6705 0.0573 2.2187
0.8538 -3.8968 1.1283
2.5085 1.4133 2.9828
```


C) Entry from Alexandria: an optimized crystal structure of BeTeRh2 (PBE). Values from VASP.

Computed properties:
Crystal system ... tetragonal

```
&SYSTEM
  ibrav = 0, nat = 4, ntyp = 3
/
ATOMIC_SPECIES
Be 9.01 Be.upf
Te 127.60 Te.upf
Rh 102.91 Rh.upf
ATOMIC_POSITIONS crystal
Be 0.5000 0.5000 0.7500
Te 0.5000 0.5000 0.2500
Rh 0.0000 0.0000 0.9591
Rh 0.0000 0.0000 0.5409
CELL_PARAMETERS angstrom
-0.6236 -0.0948 2.9732
-0.2284 -3.0273 -0.1444
6.2722 -0.5352 1.2985
```


D) Entry from Alexandria: an optimized crystal structure of BeTeRh2 (PBE). Values from VASP.

Computed properties:
Crystal system ... trigonal

```
&SYSTEM
  ibrav = 0, nat = 4, ntyp = 3
/
ATOMIC_SPECIES
Be 9.01 Be.upf
Te 127.60 Te.upf
Rh 102.91 Rh.upf
ATOMIC_POSITIONS crystal
Be 0.7378 0.7378 0.7378
Te 0.5005 0.5005 0.5005
Rh 0.0112 0.0112 0.0112
Rh 0.2505 0.2505 0.2505
CELL_PARAMETERS angstrom
8.0339 0.0025 0.0015
7.4454 3.0183 0.0015
7.4454 1.4530 2.6456
```


Quick one: least stable of them? D)